# 1
DFT (PBE-GGA) results for a relaxed VSiP2 crystal.

The space group is R-3m (No. 166, hexagonal axes) and the conventional cell measures 3.3016, 3.3016 and 22.7616 Å, with angles of 90.00, 90.00 and 120.00 degrees. The distinct sites, in fractional coordinates, are V at (0.0000, 0.0000, 0.0000), Si at (0.0000, 0.0000, 0.5000) and P at (0.0000, 0.0000, 0.1048).

For the uncorrected formation energy, the calculation gives 404 meV/atom. The crystal system is trigonal.

# 2
DFT (PBE-GGA) results for a relaxed V8Si3P2 crystal.

The space group is C2/m (No. 12) and the conventional cell measures 13.3827, 6.3554 and 4.3171 Å, with angles of 90.00, 93.84 and 90.00 degrees. The distinct sites, in fractional coordinates, are V at (0.1158, 0.0000, 0.0264), V at (0.1311, 0.2480, 0.5625), V at (0.1725, 0.5000, 0.0732), Si at (0.0000, 0.0000, 0.5000), Si at (0.0000, 0.3120, 0.0000) and P at (0.2465, 0.0000, 0.4030).

For the uncorrected formation energy, the calculation gives -224 meV/atom. The crystal system is monoclinic.

# 3
DFT (PBE-GGA) results for a relaxed VSiP3 crystal.

The space group is Pm-3m (No. 221) and the conventional cell measures 4.5276, 4.5276 and 4.5276 Å, with angles of 90.00, 90.00 and 90.00 degrees. The distinct sites, in fractional coordinates, are V at (0.0000, 0.0000, 0.0000), Si at (0.5000, 0.5000, 0.5000) and P at (0.0000, 0.0000, 0.5000).

The energy above the most stable polymorph in this dataset comes out at 0 meV per atom. For the uncorrected formation energy, the calculation gives 586 meV/atom. The crystal system is cubic.

# 4
DFT (PBE-GGA) results for a relaxed V2SiP crystal.

The space group is P4/mmm (No. 123) and the conventional cell measures 2.8168, 2.8168 and 6.5208 Å, with angles of 90.00, 90.00 and 90.00 degrees. The distinct sites, in fractional coordinates, are V at (0.0000, 0.0000, 0.2263), Si at (0.5000, 0.5000, 0.5000) and P at (0.5000, 0.5000, 0.0000).

The energy above the most stable polymorph in this dataset comes out at 168 meV per atom. For the uncorrected formation energy, the calculation gives -314 meV/atom. The crystal system is tetragonal.